! GGA+U EuVO4, optimized geometry; values from VASP
&SYSTEM
  ibrav = 0, nat = 12, ntyp = 3
/
ATOMIC_SPECIES
Eu 151.96 Eu.upf
V 50.94 V.upf
O 16.00 O.upf
CELL_PARAMETERS angstrom
-4.154 -4.532 0.046
3.034 0.860 -5.278
4.240 -1.522 4.184
ATOMIC_POSITIONS crystal
Eu 0.500 0.500 0.000
Eu 0.750 0.250 0.500
V 0.250 0.750 0.500
V 0.000 0.000 0.000
O 0.829 0.011 0.182
O 0.897 0.579 0.318
O 0.261 0.579 0.682
O 0.829 0.647 0.818
O 0.353 0.171 0.182
O 0.421 0.739 0.318
O 0.421 0.103 0.682
O 0.989 0.171 0.818
! - V: 14.7 Å³/atom
! - Energy: -8.6186 eV per atom